! SiPb2O2F4 (PBE, optimized geometry); values from VASP
! M_tot: 0.000 μB per atom
! Uncorrected formation energy: -2.31 eV per atom
! Fermi-level density of states: 0.0 states/eV/f.u.
&SYSTEM
  ibrav = 0, nat = 9, ntyp = 4
/
ATOMIC_SPECIES
Si 28.09 Si.upf
Pb 207.20 Pb.upf
O 16.00 O.upf
F 19.00 F.upf
CELL_PARAMETERS angstrom
4.909 -2.554 0.000
4.909 2.554 0.000
-0.440 0.000 5.183
ATOMIC_POSITIONS angstrom
Si 0.000 0.000 0.000
Pb 2.990 0.000 1.280
Pb 6.389 0.000 3.903
O 1.201 0.000 4.586
O 8.177 0.000 0.597
F 4.018 1.313 4.014
F 5.361 1.313 1.169
F 4.018 -1.313 4.014
F 5.361 -1.313 1.169

=====

! La6YTm2 (PBE, optimized geometry); values from VASP
! M_tot: 0.000 μB per atom
! Energy relative to the elements: 116 meV/atom
! Fermi-level density of states: 13.5 states/eV/f.u.
&SYSTEM
  ibrav = 0, nat = 9, ntyp = 3
/
ATOMIC_SPECIES
La 138.91 La.upf
Y 88.91 Y.upf
Tm 168.93 Tm.upf
CELL_PARAMETERS angstrom
4.733 -8.917 0.000
4.733 8.917 0.000
0.000 0.000 3.699
ATOMIC_POSITIONS angstrom
La 1.633 2.967 0.000
La 1.661 0.000 1.850
La 1.633 -2.967 0.000
La 7.833 2.967 0.000
La 7.805 0.000 1.850
La 7.833 -2.967 0.000
Y 4.733 0.000 0.000
Tm 4.733 3.085 1.850
Tm 4.733 -3.085 1.850

=====

! RbCr2Cl6 (PBE, optimized geometry); values from VASP
! M_tot: 0.778 μB per atom
! Uncorrected formation energy: -1.26 eV per atom
! Fermi-level density of states: 7.7 states/eV/f.u.
&SYSTEM
  ibrav = 0, nat = 9, ntyp = 3
/
ATOMIC_SPECIES
Rb 85.47 Rb.upf
Cr 52.00 Cr.upf
Cl 35.45 Cl.upf
CELL_PARAMETERS angstrom
6.398 0.000 0.000
-3.199 5.541 0.000
0.000 0.000 7.357
ATOMIC_POSITIONS angstrom
Rb 0.000 0.000 0.000
Cr 0.000 3.694 3.678
Cr 3.199 1.847 3.678
Cl -1.197 2.073 5.044
Cl -2.002 3.468 2.313
Cl 2.394 0.000 5.044
Cl 1.197 2.073 2.313
Cl 4.005 0.000 2.313
Cl 2.002 3.468 5.044

=====

! Ho5Zn2Pd2 (PBE, optimized geometry); values from VASP
! M_tot: 0.000 μB per atom
! Energy relative to the elements: -496 meV/atom
! Fermi-level density of states: 7.8 states/eV/f.u.
&SYSTEM
  ibrav = 0, nat = 18, ntyp = 3
/
ATOMIC_SPECIES
Ho 164.93 Ho.upf
Zn 65.41 Zn.upf
Pd 106.42 Pd.upf
CELL_PARAMETERS angstrom
7.813 -3.681 0.000
7.813 3.681 0.000
0.000 0.000 7.522
ATOMIC_POSITIONS angstrom
Ho 0.000 0.000 0.000
Ho 5.703 2.380 5.055
Ho 5.703 1.300 1.294
Ho 9.923 2.380 5.055
Ho 9.923 1.300 1.294
Ho 7.813 0.000 3.761
Ho 5.703 -1.300 6.228
Ho 5.703 -2.380 2.467
Ho 9.923 -1.300 6.228
Ho 9.923 -2.380 2.467
Zn 3.328 0.000 0.000
Zn 4.485 0.000 3.761
Zn 11.141 0.000 3.761
Zn 12.298 0.000 0.000
Pd 7.813 2.733 2.767
Pd 7.813 0.947 6.528
Pd 7.813 -0.947 0.994
Pd 7.813 -2.733 4.754

=====

! ReGeSb2I (PBE, optimized geometry); values from VASP
! M_tot: 0.704 μB per atom
! Uncorrected formation energy: 1.59 eV per atom
! Offset from the most stable computed form: 0.7308 eV per atom
! Fermi-level density of states: 3.3 states/eV/f.u.
&SYSTEM
  ibrav = 0, nat = 5, ntyp = 4
/
ATOMIC_SPECIES
Re 186.21 Re.upf
Ge 72.64 Ge.upf
Sb 121.76 Sb.upf
I 126.90 I.upf
CELL_PARAMETERS angstrom
5.361 0.000 0.000
0.000 5.361 0.000
0.000 0.000 5.438
ATOMIC_POSITIONS angstrom
Re 0.000 0.000 0.000
Ge 2.681 2.681 2.719
Sb 0.000 2.681 2.719
Sb 2.681 0.000 2.719
I 2.681 2.681 0.000

=====

! Ce3AlSi6Pd2 (PBE, optimized geometry); values from VASP
! M_tot: 0.100 μB per atom
! Uncorrected formation energy: -0.43 eV per atom
! Fermi-level density of states: 13.1 states/eV/f.u.
&SYSTEM
  ibrav = 0, nat = 12, ntyp = 4
/
ATOMIC_SPECIES
Ce 140.12 Ce.upf
Al 26.98 Al.upf
Si 28.09 Si.upf
Pd 106.42 Pd.upf
CELL_PARAMETERS angstrom
5.727 0.000 0.000
-2.864 4.960 0.000
0.000 0.000 8.227
ATOMIC_POSITIONS angstrom
Ce 0.000 0.000 0.000
Ce 0.000 3.307 5.074
Ce 2.864 1.653 3.153
Al 0.000 0.000 4.113
Si 0.000 1.889 2.333
Si -1.228 4.016 2.333
Si 1.636 0.945 5.894
Si 1.228 4.016 2.333
Si 4.091 0.945 5.894
Si 2.864 3.071 5.894
Pd 0.000 3.307 0.285
Pd 2.864 1.653 7.942

=====

! SnAuCl2 (PBE, optimized geometry); values from VASP
! M_tot: 0.000 μB per atom
! Uncorrected formation energy: -0.12 eV per atom
! Offset from the most stable computed form: 0.1700 eV per atom
! Fermi-level density of states: 1.2 states/eV/f.u.
&SYSTEM
  ibrav = 0, nat = 4, ntyp = 3
/
ATOMIC_SPECIES
Sn 118.71 Sn.upf
Au 196.97 Au.upf
Cl 35.45 Cl.upf
CELL_PARAMETERS angstrom
1.818 1.050 8.989
-1.818 1.050 8.989
0.000 -2.099 8.989
ATOMIC_POSITIONS angstrom
Sn 0.000 0.000 0.000
Au 0.000 0.000 13.483
Cl 0.000 0.000 2.715
Cl 0.000 0.000 24.251

=====

! GaSiAg2 (PBE, optimized geometry); values from VASP
! M_tot: 0.000 μB per atom
! Uncorrected formation energy: 0.22 eV per atom
! Fermi-level density of states: 1.2 states/eV/f.u.
&SYSTEM
  ibrav = 0, nat = 8, ntyp = 3
/
ATOMIC_SPECIES
Ga 69.72 Ga.upf
Si 28.09 Si.upf
Ag 107.87 Ag.upf
CELL_PARAMETERS angstrom
-2.033 2.033 8.906
2.033 -2.033 8.906
2.033 2.033 -8.906
ATOMIC_POSITIONS angstrom
Ga 0.000 0.000 0.000
Ga 0.000 2.033 4.453
Si 2.033 0.000 4.453
Si 0.000 0.000 8.906
Ag 1.017 -0.983 6.680
Ag 1.050 1.017 2.227
Ag 1.017 3.016 -2.227
Ag 0.983 1.017 11.133

=====

! ThMg (PBE, optimized geometry); values from VASP
! M_tot: 0.000 μB per atom
! Energy relative to the elements: 69 meV/atom
! Fermi-level density of states: 2.7 states/eV/f.u.
&SYSTEM
  ibrav = 0, nat = 4, ntyp = 2
/
ATOMIC_SPECIES
Th 232.04 Th.upf
Mg 24.30 Mg.upf
CELL_PARAMETERS angstrom
3.449 0.000 0.000
0.000 5.035 0.000
-1.710 0.000 6.569
ATOMIC_POSITIONS angstrom
Th 0.004 1.259 2.351
Th 1.735 3.776 4.219
Mg 0.012 1.259 5.775
Mg 1.727 3.776 0.794

=====

! TcGe2SbBr (PBE, optimized geometry); values from VASP
! M_tot: 0.115 μB per atom
! Uncorrected formation energy: 0.54 eV per atom
! Fermi-level density of states: 5.2 states/eV/f.u.
&SYSTEM
  ibrav = 0, nat = 5, ntyp = 4
/
ATOMIC_SPECIES
Tc 98.00 Tc.upf
Ge 72.64 Ge.upf
Sb 121.76 Sb.upf
Br 79.90 Br.upf
CELL_PARAMETERS angstrom
4.781 0.000 0.000
0.000 4.781 0.000
0.000 0.000 5.408
ATOMIC_POSITIONS angstrom
Tc 0.000 0.000 0.000
Ge 0.000 2.390 0.000
Ge 2.390 0.000 0.000
Sb 2.390 2.390 2.704
Br 0.000 0.000 2.704

=====

! RuI2N (PBE, optimized geometry); values from VASP
! M_tot: 0.000 μB per atom
! Uncorrected formation energy: 1.40 eV per atom
! Offset from the most stable computed form: 0.0000 eV per atom
! Fermi-level density of states: 3.7 states/eV/f.u.
&SYSTEM
  ibrav = 0, nat = 8, ntyp = 3
/
ATOMIC_SPECIES
Ru 101.07 Ru.upf
I 126.90 I.upf
N 14.01 N.upf
CELL_PARAMETERS angstrom
-2.828 2.828 5.978
2.828 -2.828 5.978
2.828 2.828 -5.978
ATOMIC_POSITIONS angstrom
Ru 0.000 0.000 0.000
Ru 0.000 2.828 2.989
I 1.414 -1.318 4.483
I 1.510 1.414 1.494
I 1.414 4.145 -1.494
I 1.318 1.414 7.472
N 2.828 0.000 2.989
N 0.000 0.000 5.978

=====

! Ca3YSe4 (PBE, optimized geometry); values from VASP
! M_tot: 0.000 μB per atom
! Uncorrected formation energy: -1.95 eV per atom
! Fermi-level density of states: 2.5 states/eV/f.u.
&SYSTEM
  ibrav = 0, nat = 8, ntyp = 3
/
ATOMIC_SPECIES
Ca 40.08 Ca.upf
Y 88.91 Y.upf
Se 78.96 Se.upf
CELL_PARAMETERS angstrom
4.181 -5.899 0.000
4.181 5.899 0.000
0.000 0.000 4.159
ATOMIC_POSITIONS angstrom
Ca 0.000 0.000 0.000
Ca 2.090 2.949 2.080
Ca 2.090 -2.949 2.080
Y 4.181 0.000 0.000
Se 4.181 2.916 0.000
Se 2.125 0.000 2.080
Se 6.237 0.000 2.080
Se 4.181 -2.916 0.000

=====

What did the tenth record say?
! TcGe2SbBr (PBE, optimized geometry); values from VASP
! M_tot: 0.115 μB per atom
! Uncorrected formation energy: 0.54 eV per atom
! Fermi-level density of states: 5.2 states/eV/f.u.
&SYSTEM
  ibrav = 0, nat = 5, ntyp = 4
/
ATOMIC_SPECIES
Tc 98.00 Tc.upf
Ge 72.64 Ge.upf
Sb 121.76 Sb.upf
Br 79.90 Br.upf
CELL_PARAMETERS angstrom
4.781 0.000 0.000
0.000 4.781 0.000
0.000 0.000 5.408
ATOMIC_POSITIONS angstrom
Tc 0.000 0.000 0.000
Ge 0.000 2.390 0.000
Ge 2.390 0.000 0.000
Sb 2.390 2.390 2.704
Br 0.000 0.000 2.704

=====

Question: Look up the M_tot of the tenth one.
Answer: 0.115 μB per atom

=====

Question: Which of these has the lowest Fermi-level density of states?
Answer: SiPb2O2F4